Entry 1:
A relaxed In2FeHg crystal, computed with PBE-GGA.

## Properties
DFT total energy = -12.821 eV per formula unit
formation energy = 0.355 eV per atom

Unit cell a=3.5024 b=4.0416 c=5.9261 alpha=90.00 beta=90.00 gamma=90.00
With the nearest neighbours (Å) after each atom.
Fractional coordinates of all 4 atoms:
1 In 0.0000 0.0000 0.0000  2 Fe 2.89-3.04, 4 Hg 3.03, 4 In 3.19
2 In 0.5000 0.5000 0.2926  1 Hg 2.77, 4 Fe 2.91
3 Fe 0.0000 0.0000 0.4875  6 In 2.89-3.04, 4 Hg 3.12
4 Hg 0.5000 0.5000 0.7595  5 In 2.77-3.03

***

Entry 2:
A relaxed Y2BePd2 crystal, computed with PBE-GGA.

## Properties
DFT total energy = -29.625 eV per formula unit
energy above the lowest structure with this stoichiometry = 0.000 eV/atom
formation energy = -0.517 eV per atom

Unit cell a=7.0876 b=7.0876 c=4.0765 alpha=90.00 beta=90.00 gamma=90.00
With the nearest neighbours (Å) after each atom.
Fractional coordinates of all 10 atoms:
1 Y 0.1729 0.3271 0.0000  6 Pd 2.78-3.01
2 Y 0.3271 0.8271 0.0000  6 Pd 2.78-3.01
3 Y 0.6729 0.1729 0.0000  6 Pd 2.78-3.01
4 Y 0.8271 0.6729 0.0000  6 Pd 2.78-3.01
5 Be 0.0000 0.0000 0.5000  4 Pd 2.74
6 Be 0.5000 0.5000 0.5000  4 Pd 2.74
7 Pd 0.1386 0.6386 0.5000  2 Be 2.74, 1 Pd 2.78, 6 Y 2.78-3.01
8 Pd 0.3614 0.1386 0.5000  2 Be 2.74, 1 Pd 2.78, 6 Y 2.78-3.01
9 Pd 0.6386 0.8614 0.5000  2 Be 2.74, 1 Pd 2.78, 6 Y 2.78-3.01
10 Pd 0.8614 0.3614 0.5000  2 Be 2.74, 1 Pd 2.78, 6 Y 2.78-3.01

***

Entry 3:
A relaxed IrAuSe2 crystal, computed with PBE-GGA.

## Properties
formation energy (no corrections) = 0.558 eV/atom
DFT total energy = -16.875 eV per formula unit

Unit cell a=4.7447 b=4.7447 c=3.1972 alpha=90.00 beta=90.00 gamma=101.69
With the nearest neighbours (Å) after each atom.
Fractional coordinates of all 4 atoms:
1 Ir 0.0000 0.0000 0.0000  8 Se 2.86, 2 Au 3.00, 2 Ir 3.20
2 Au 0.5000 0.5000 0.0000  8 Se 2.86, 2 Ir 3.00, 2 Au 3.20
3 Se 0.0000 0.5000 0.5000  4 Ir 2.86, 4 Au 2.86, 4 Se 3.00-3.20
4 Se 0.5000 0.0000 0.5000  4 Ir 2.86, 4 Au 2.86, 4 Se 3.00-3.20

***

Entry 4:
A relaxed BeZn2Ir crystal, computed with PBE-GGA.

## Properties
DFT total energy = -14.588 eV per formula unit
formation energy = 0.137 eV per atom

Unit cell a=2.7481 b=2.7481 c=8.2321 alpha=90.00 beta=90.00 gamma=119.69
With the nearest neighbours (Å) after each atom.
Fractional coordinates of all 4 atoms:
1 Be 0.0000 0.0000 0.0000  4 Zn 2.38
2 Zn 0.5000 0.5000 0.2350  2 Be 2.38, 2 Ir 2.58
3 Zn 0.5000 0.5000 0.7650  2 Be 2.38, 2 Ir 2.58
4 Ir 0.0000 0.0000 0.5000  4 Zn 2.58, 6 Ir 2.75-2.76

***

Entry 5:
A relaxed Cs3SmTm2Te6 crystal, computed with PBE-GGA.

## Properties
formation energy (no corrections) = -1.373 eV/atom
DFT total energy = -51.545 eV per formula unit

Unit cell a=7.8835 b=7.8835 c=9.2973 alpha=98.13 beta=98.13 gamma=120.00
With the nearest neighbours (Å) after each atom.
Fractional coordinates of all 12 atoms:
1 Cs 0.0000 0.0000 0.0000  6 Te 3.78-3.84
2 Cs 0.3354 0.6646 0.0000  6 Te 3.79-3.84
3 Cs 0.6646 0.3354 0.0000  6 Te 3.79-3.84
4 Sm 0.5000 0.5000 0.5000  6 Te 3.17
5 Tm 0.1669 0.8331 0.5000  6 Te 3.10
6 Tm 0.8331 0.1669 0.5000  6 Te 3.10
7 Te 0.0960 0.4368 0.3105  2 Tm 3.10, 1 Sm 3.17
8 Te 0.2220 0.2220 0.6887  2 Tm 3.10, 1 Sm 3.17
9 Te 0.4368 0.0960 0.3105  2 Tm 3.10, 1 Sm 3.17
10 Te 0.5632 0.9040 0.6895  2 Tm 3.10, 1 Sm 3.17
11 Te 0.7780 0.7780 0.3113  2 Tm 3.10, 1 Sm 3.17
12 Te 0.9040 0.5632 0.6895  2 Tm 3.10, 1 Sm 3.17

***

Entry 6:
A relaxed Pm6AuSe5 crystal, computed with PBE-GGA.

## Properties
formation energy (no corrections) = -1.683 eV/atom
DFT total energy = -69.402 eV per formula unit

Unit cell a=7.3037 b=7.3037 c=7.3007 alpha=99.61 beta=99.61 gamma=120.01
With the nearest neighbours (Å) after each atom.
Fractional coordinates of all 12 atoms:
1 Pm 0.0825 0.4179 0.7505  5 Se 2.96-2.99, 1 Au 2.99
2 Pm 0.2494 0.2494 0.2504  5 Se 2.97-2.99, 1 Au 2.99
3 Pm 0.4179 0.0825 0.7505  5 Se 2.96-2.99, 1 Au 2.99
4 Pm 0.5821 0.9175 0.2495  5 Se 2.96-2.99, 1 Au 2.99
5 Pm 0.7506 0.7506 0.7496  5 Se 2.97-2.99, 1 Au 2.99
6 Pm 0.9175 0.5821 0.2495  5 Se 2.96-2.99, 1 Au 2.99
7 Au 0.5000 0.5000 0.0000  6 Pm 2.99
8 Se 0.0000 0.0000 0.5000  6 Pm 2.98-2.99
9 Se 0.1657 0.8343 0.0000  6 Pm 2.97-2.98
10 Se 0.3321 0.6679 0.5000  6 Pm 2.96-2.99
11 Se 0.6679 0.3321 0.5000  6 Pm 2.96-2.99
12 Se 0.8343 0.1657 0.0000  6 Pm 2.97-2.98

***

Entry 7:
A relaxed Ag2HgOs crystal, computed with PBE-GGA.

## Properties
DFT total energy = -14.839 eV per formula unit
formation energy = 0.599 eV per atom

Unit cell a=2.7936 b=2.7936 c=9.1111 alpha=90.00 beta=90.00 gamma=90.00
With the nearest neighbours (Å) after each atom.
Fractional coordinates of all 4 atoms:
1 Ag 0.0000 0.0000 0.2329  4 Ag 2.79, 4 Os 2.90
2 Ag 0.0000 0.0000 0.7671  4 Ag 2.79, 4 Os 2.90
3 Hg 0.5000 0.5000 0.5000  4 Hg 2.79
4 Os 0.5000 0.5000 0.0000  4 Os 2.79, 8 Ag 2.90

***

Entry 8:
A relaxed Li3CCl crystal, computed with PBE-GGA.

## Properties
formation energy (no corrections) = 0.007 eV/atom
DFT total energy = -16.776 eV per formula unit
energy above the lowest structure with this stoichiometry = 0.000 eV/atom

Unit cell a=4.2105 b=4.2105 c=4.2105 alpha=90.00 beta=90.00 gamma=90.00
With the nearest neighbours (Å) after each atom.
Fractional coordinates of all 5 atoms:
1 Li 0.0000 0.0000 0.5000  2 C 2.11
2 Li 0.0000 0.5000 0.0000  2 C 2.11
3 Li 0.5000 0.0000 0.0000  2 C 2.11
4 C 0.0000 0.0000 0.0000  6 Li 2.11
5 Cl 0.5000 0.5000 0.5000  12 Li 2.98

***

Entry 9:
A relaxed Mg3HgBi crystal, computed with PBE-GGA.

## Properties
DFT total energy = -8.421 eV per formula unit
energy above the lowest structure with this stoichiometry = 0.262 eV/atom
formation energy = 0.109 eV per atom

Unit cell a=5.2233 b=5.2233 c=5.2233 alpha=90.00 beta=90.00 gamma=90.00
With the nearest neighbours (Å) after each atom.
Fractional coordinates of all 5 atoms:
1 Mg 0.0000 0.0000 0.5000  2 Hg 2.61
2 Mg 0.0000 0.5000 0.0000  2 Hg 2.61
3 Mg 0.5000 0.0000 0.0000  2 Hg 2.61
4 Hg 0.0000 0.0000 0.0000  6 Mg 2.61
5 Bi 0.5000 0.5000 0.5000  12 Mg 3.69

***

Entry 10:
A relaxed RbTa2NCl crystal, computed with PBE-GGA.

## Properties
formation energy (no corrections) = 0.020 eV/atom
DFT total energy = -34.747 eV per formula unit

Unit cell a=4.1401 b=4.1401 c=9.6423 alpha=90.00 beta=90.00 gamma=90.00
With the nearest neighbours (Å) after each atom.
Fractional coordinates of all 5 atoms:
1 Rb 0.0000 0.0000 0.0000  4 Cl 2.93
2 Ta 0.0000 0.5000 0.5000  2 N 2.07
3 Ta 0.5000 0.0000 0.5000  2 N 2.07
4 N 0.0000 0.0000 0.5000  4 Ta 2.07
5 Cl 0.5000 0.5000 0.0000  4 Rb 2.93

***

Entry 11:
A relaxed BeV2H crystal, computed with PBE-GGA.

## Properties
DFT total energy = -23.969 eV per formula unit
energy above the lowest structure with this stoichiometry = 0.260 eV/atom

Unit cell a=3.7958 b=3.7958 c=3.7958 alpha=60.00 beta=60.00 gamma=60.00
With the nearest neighbours (Å) after each atom.
Fractional coordinates of all 4 atoms:
1 Be 0.0000 0.0000 0.0000  8 V 2.32
2 V 0.2500 0.2500 0.2500  4 H 2.32, 4 Be 2.32
3 V 0.7500 0.7500 0.7500  4 H 2.32, 4 Be 2.32
4 H 0.5000 0.5000 0.5000  8 V 2.32

***

Entry 12:
A relaxed AcCd9Ga3 crystal, computed with PBE-GGA.

## Properties
DFT total energy = -22.808 eV per formula unit
formation energy = -0.106 eV per atom

Unit cell a=7.6866 b=7.6866 c=7.7475 alpha=97.94 beta=97.94 gamma=135.58
With the nearest neighbours (Å) after each atom.
Fractional coordinates of all 13 atoms:
1 Ac 0.0000 0.0000 0.0000  14 Cd 3.59-3.87, 6 Ga 3.84-3.90
2 Cd 0.0000 0.0000 0.5000  2 Ga 2.91, 8 Cd 2.97-3.09
3 Cd 0.0021 0.3562 0.3548  6 Cd 2.95-3.26, 3 Ga 3.09-3.14
4 Cd 0.2863 0.5031 0.7854  3 Ga 2.92-2.94, 7 Cd 2.97-3.26
5 Cd 0.3562 0.0021 0.3548  6 Cd 2.95-3.26, 3 Ga 3.09-3.14
6 Cd 0.4969 0.7137 0.2146  3 Ga 2.92-2.94, 7 Cd 2.97-3.26
7 Cd 0.5031 0.2863 0.7854  3 Ga 2.92-2.94, 7 Cd 2.97-3.26
8 Cd 0.6438 0.9979 0.6452  6 Cd 2.95-3.26, 3 Ga 3.09-3.14
9 Cd 0.7137 0.4969 0.2146  3 Ga 2.92-2.94, 7 Cd 2.97-3.26
10 Cd 0.9979 0.6438 0.6452  6 Cd 2.95-3.26, 3 Ga 3.09-3.14
11 Ga 0.0000 0.5000 0.0000  2 Ga 2.91, 8 Cd 2.92-3.14
12 Ga 0.5000 0.0000 0.0000  2 Ga 2.91, 8 Cd 2.92-3.14
13 Ga 0.5000 0.5000 0.5000  10 Cd 2.91-3.09

***

The lowest DFT total energy belongs to which entry? Pm6AuSe5

***

The highest DFT total energy belongs to which entry? Mg3HgBi

***

Which value of DFT total energy does entry 3 give? -16.875 eV per formula unit